# 1
The following is a DFT calculation (PBE) of an optimized crystal structure of Na2MnB.

Cell and atoms, written as POSCAR:
```
Na2MnB
1.0
-5.1607 5.1607 1.9866
5.1607 -5.1607 1.9866
5.1607 5.1607 -1.9866
Na Mn B
4 2 2
Cartesian
0.6714 2.5804 0.4966
-2.5804 4.4893 1.4899
-0.6714 7.7411 0.4966
2.5804 5.8321 1.4899
5.1607 0.0000 0.9933
0.0000 0.0000 1.9866
0.0000 0.0000 0.0000
0.0000 5.1607 0.9933
```

Calculated values
- DFT total energy (eV/atom) = -3.931

---

# 2
The following is a DFT calculation (PBE) of an optimized crystal structure of Li2Hg2Pb.

Cell and atoms, written as POSCAR:
```
Li2Hg2Pb
1.0
8.1558 0.0000 0.0000
0.0000 8.1558 0.0000
0.0000 0.0000 3.2938
Li Hg Pb
4 4 2
Cartesian
1.3472 2.7307 0.0000
2.7307 6.8086 0.0000
5.4251 1.3472 0.0000
6.8086 5.4251 0.0000
1.0656 5.1435 1.6469
3.0123 1.0656 1.6469
5.1435 7.0902 1.6469
7.0902 3.0123 1.6469
0.0000 0.0000 1.6469
4.0779 4.0779 1.6469
```

Calculated values
- polymorph energy (0 for the lowest one) (meV per atom) = 0

---

# 3
The following is a DFT calculation (PBE) of an optimized crystal structure of Ge2Rh2W.

Cell and atoms, written as POSCAR:
```
Ge2Rh2W
1.0
-1.9384 1.9384 5.2657
1.9384 -1.9384 5.2657
1.9384 1.9384 -5.2657
Ge Rh W
2 2 1
Cartesian
0.0000 0.0000 1.1892
0.0000 0.0000 9.3421
1.9384 0.0000 2.6328
0.0000 1.9384 2.6328
0.0000 0.0000 5.2657
```

Calculated values
- polymorph energy (0 for the lowest one) (meV per atom) = 350

---

# 4
The following is a DFT calculation (PBE) of an optimized crystal structure of BiSe2I.

Cell and atoms, written as POSCAR:
```
BiSe2I
1.0
0.0000 3.7366 3.7366
3.7366 0.0000 3.7366
3.7366 3.7366 0.0000
Bi Se I
1 2 1
Cartesian
0.0000 0.0000 0.0000
1.8683 1.8683 1.8683
5.6049 5.6049 5.6049
3.7366 3.7366 3.7366
```

Calculated values
- polymorph energy (0 for the lowest one) (meV per atom) = 466
- uncorrected formation energy (kJ per mole of atoms) = 27.4

---

# 5
The following is a DFT calculation (PBE) of an optimized crystal structure of AlZn8Cu6.

Cell and atoms, written as POSCAR:
```
AlZn8Cu6
1.0
3.5636 2.0574 5.0488
-3.5636 2.0574 5.0488
0.0000 -4.1149 5.0488
Al Zn Cu
1 8 6
Cartesian
0.0000 0.0000 0.0000
-1.1723 -2.0644 6.8964
-2.3739 -0.0170 8.2502
0.0000 0.0000 5.1208
-1.2016 2.0474 6.8964
1.2016 -2.0474 8.2502
0.0000 0.0000 10.0257
2.3739 0.0169 6.8964
1.1723 2.0644 8.2502
-2.3900 -0.0073 5.7387
-1.1887 -2.0735 9.4078
1.2014 -2.0662 5.7387
-1.2013 2.0662 9.4078
1.1887 2.0735 5.7387
2.3900 0.0073 9.4078
```

Calculated values
- DFT total energy (eV/atom) = -2.622

---

# 6
The following is a DFT calculation (PBE) of an optimized crystal structure of SrTe2Se2.

Cell and atoms, written as POSCAR:
```
SrTe2Se2
1.0
8.4238 0.0000 0.0000
0.0000 8.4238 0.0000
0.0000 0.0000 4.7256
Sr Te Se
2 4 4
Cartesian
0.0000 0.0000 0.0000
4.2119 4.2119 0.0000
1.8884 2.3234 2.3628
2.3234 6.5353 2.3628
6.1003 1.8884 2.3628
6.5353 6.1003 2.3628
1.3787 5.5906 0.0000
2.8332 1.3787 0.0000
5.5906 7.0451 0.0000
7.0451 2.8332 0.0000
```

Calculated values
- polymorph energy (0 for the lowest one) (meV per atom) = 85
- uncorrected formation energy (kJ per mole of atoms) = -59.1

---

Calculated D(E_F) (states/eV/f.u.), listed in the same order as above: 1.6 1.5 3.7 4.3 4.7 2.2